A relaxed structure of ZnCr2Rh, computed with GGA-PBEsol.

Cell and atoms, written as CIF:
```
data_ZnCr2Rh
_space_group_name_H-M_alt 'R -3 m'
_space_group_IT_number 166
_space_group_name_Hall '-R 3 2"'
_cell_length_a 2.5847
_cell_length_b 2.5847
_cell_length_c 25.7172
_cell_angle_alpha 90.00
_cell_angle_beta 90.00
_cell_angle_gamma 120.00
loop_
_atom_site_label
_atom_site_type_symbol
_atom_site_fract_x
_atom_site_fract_y
_atom_site_fract_z
Zn1 Zn 0.0000 0.0000 0.0000
Cr1 Cr 0.0000 0.0000 0.2484
Rh1 Rh 0.0000 0.0000 0.5000
```

Properties
The calculation puts the magnetic moment at 0.01 Bohr magnetons per cell. The value obtained for the formation energy is 175 meV/atom. The total DFT energy (no corrections) comes out at -7.376 eV/atom. Its volume is 12.399 Å³ per atom.

A relaxed structure of LaAsO4, computed with GGA-PBEsol.

Cell and atoms, written as CIF:
```
data_LaAsO4
_space_group_name_H-M_alt 'I 41/a'
_space_group_IT_number 88
_cell_length_a 5.182
_cell_length_b 5.182
_cell_length_c 11.768
_cell_angle_alpha 90.00
_cell_angle_beta 90.00
_cell_angle_gamma 90.00
loop_
_space_group_symop_operation_xyz
'x,y,z'
'-x,-y,-z'
'-y+3/4,x+1/4,z+1/4'
'y+3/4,-x+1/4,-z+1/4'
'-x+1/2,-y,z+1/2'
'x+1/2,y,-z+1/2'
'y+3/4,-x+3/4,z+3/4'
'-y+3/4,x+3/4,-z+3/4'
'x+1/2,y+1/2,z+1/2'
'-x+1/2,-y+1/2,-z+1/2'
'-y+1/4,x+3/4,z+3/4'
'y+1/4,-x+3/4,-z+3/4'
'-x,-y+1/2,z'
'x,y+1/2,-z'
'y+1/4,-x+1/4,z+1/4'
'-y+1/4,x+1/4,-z+1/4'
loop_
_atom_site_label
_atom_site_type_symbol
_atom_site_fract_x
_atom_site_fract_y
_atom_site_fract_z
La1 La 0.000 0.250 0.125
As1 As 0.000 0.250 0.625
O1 O 0.135 0.004 0.703
```

Properties
The calculation puts the magnetic moment at 0.00 Bohr magnetons per cell. The total DFT energy (no corrections) comes out at -7.623 eV/atom. The formation energy from raw total energies comes out at -2.38 eV/atom. Its volume is 13.166 Å³ per atom.

A relaxed structure of LaIn5Co, computed with GGA-PBEsol.

Cell and atoms, written as CIF:
```
data_LaIn5Co
_space_group_name_H-M_alt 'P 4/m m m'
_space_group_IT_number 123
_space_group_name_Hall '-P 4 2'
_cell_length_a 4.577
_cell_length_b 4.577
_cell_length_c 7.542
_cell_angle_alpha 90.00
_cell_angle_beta 90.00
_cell_angle_gamma 90.00
loop_
_atom_site_label
_atom_site_type_symbol
_atom_site_fract_x
_atom_site_fract_y
_atom_site_fract_z
La1 La 0.000 0.000 0.000
In1 In 0.000 0.500 0.312
In2 In 0.500 0.500 0.000
Co1 Co 0.000 0.000 0.500
```

Properties
The calculation puts the magnetic moment at 0.00 Bohr magnetons per cell. The value obtained for the formation energy is -327 meV/atom. The total DFT energy (no corrections) comes out at -4.327 eV/atom. Its volume is 22.576 Å³ per atom.

A relaxed structure of KTl2Cd, computed with GGA-PBEsol.

Cell and atoms, written as CIF:
```
data_KTl2Cd
_space_group_name_H-M_alt 'P 1 m 1'
_space_group_IT_number 6
_cell_length_a 3.395
_cell_length_b 5.091
_cell_length_c 7.005
_cell_angle_alpha 90.00
_cell_angle_beta 103.73
_cell_angle_gamma 90.00
loop_
_space_group_symop_operation_xyz
'x,y,z'
'x,-y,z'
loop_
_atom_site_label
_atom_site_type_symbol
_atom_site_fract_x
_atom_site_fract_y
_atom_site_fract_z
K1 K 0.000 0.000 0.000
Tl1 Tl 0.265 0.000 0.513
Tl2 Tl 0.650 0.500 0.294
Cd1 Cd 0.370 0.500 0.741
```

Properties
The calculation puts the magnetic moment at 0.00 Bohr magnetons per cell. The value obtained for the formation energy is -19 meV/atom. The total DFT energy (no corrections) comes out at -1.916 eV/atom. Its volume is 29.404 Å³ per atom.

A relaxed structure of CaMgAgBi2, computed with GGA-PBEsol.

Cell and atoms, written as CIF:
```
data_CaMgAgBi2
_space_group_name_H-M_alt 'P 4/m m m'
_space_group_IT_number 123
_space_group_name_Hall '-P 4 2'
_cell_length_a 5.484
_cell_length_b 5.484
_cell_length_c 4.987
_cell_angle_alpha 90.00
_cell_angle_beta 90.00
_cell_angle_gamma 90.00
loop_
_atom_site_label
_atom_site_type_symbol
_atom_site_fract_x
_atom_site_fract_y
_atom_site_fract_z
Ca1 Ca 0.000 0.000 0.000
Mg1 Mg 0.500 0.500 0.500
Ag1 Ag 0.500 0.500 0.000
Bi1 Bi 0.000 0.500 0.500
```

Properties
The calculation puts the magnetic moment at 0.00 Bohr magnetons per cell. The value obtained for the formation energy is 67 meV/atom. The total DFT energy (no corrections) comes out at -3.080 eV/atom. Its volume is 29.992 Å³ per atom.

A relaxed structure of RbMgI3, computed with GGA-PBEsol.

Cell and atoms, written as CIF:
```
data_RbMgI3
_space_group_name_H-M_alt 'P m -3 m'
_space_group_IT_number 221
_space_group_name_Hall '-P 4 2 3'
_cell_length_a 5.768
_cell_length_b 5.768
_cell_length_c 5.768
_cell_angle_alpha 90.00
_cell_angle_beta 90.00
_cell_angle_gamma 90.00
loop_
_atom_site_label
_atom_site_type_symbol
_atom_site_fract_x
_atom_site_fract_y
_atom_site_fract_z
Rb1 Rb 0.000 0.000 0.000
Mg1 Mg 0.500 0.500 0.500
I1 I 0.000 0.500 0.500
```

Properties
The calculation puts the magnetic moment at 0.00 Bohr magnetons per cell. The total DFT energy (no corrections) comes out at -2.772 eV/atom. The formation energy from raw total energies comes out at -1.16 eV/atom. Its volume is 38.386 Å³ per atom.